Na2HfWO6, optimized geometry, DFT GGA+U; E_tot = -7.408 eV/atom
1.0
5.669 0.000 0.000
0.000 5.669 0.000
0.000 0.000 4.049
Na Hf W O
2 1 1 6
direct
0.000 0.500 0.000 Na
0.500 0.000 0.000 Na
0.000 0.000 0.543 Hf
0.500 0.500 0.513 W
0.000 0.000 0.047 O
0.261 0.261 0.555 O
0.261 0.739 0.555 O
0.500 0.500 0.049 O
0.739 0.261 0.555 O
0.739 0.739 0.555 O